(1)
Nd7Ho3 | PBE-GGA | optimized geometry

Geometry as CIF:
```
data_Nd7Ho3
_chemical_formula_sum 'Nd14 Ho6'
_cell_length_a 18.5386
_cell_length_b 5.1429
_cell_length_c 7.2549
_cell_angle_alpha 90.00
_cell_angle_beta 101.60
_cell_angle_gamma 90.00
_symmetry_space_group_name_H-M 'C 1 2/m 1'
_symmetry_Int_Tables_number 12
_symmetry_space_group_name_Hall '-C 2y'
loop_
_atom_site_label
_atom_site_fract_x
_atom_site_fract_y
_atom_site_fract_z
Nd1 0.0000 0.0000 0.0000
Nd2 0.0996 0.5000 0.2992
Nd3 0.1011 0.5000 0.8018
Nd4 0.2001 0.0000 0.6007
Ho1 0.0000 0.0000 0.5000
Ho2 0.2010 0.0000 0.1003
```

Results
* E_tot: -93.92 eV for the cell shown
* energy relative to the lowest polymorph listed for this composition: 0 meV per atom
* DFT formation energy: 0.015 eV per atom

(2)
Ba2PuNiS5 | PBE-GGA | optimized geometry

Geometry as CIF:
```
data_Ba2PuNiS5
_chemical_formula_sum 'Ba8 Pu4 Ni4 S20'
_cell_length_a 4.0838
_cell_length_b 17.8995
_cell_length_c 12.9229
_cell_angle_alpha 90.00
_cell_angle_beta 90.00
_cell_angle_gamma 90.00
_symmetry_space_group_name_H-M 'C m c 21'
_symmetry_Int_Tables_number 36
_symmetry_space_group_name_Hall 'C 2c -2'
loop_
_atom_site_label
_atom_site_fract_x
_atom_site_fract_y
_atom_site_fract_z
Ba1 0.0000 0.1193 0.0000
Ba2 0.0000 0.1237 0.3599
Pu1 0.0000 0.1943 0.6842
Ni1 0.0000 0.4316 0.0824
S1 0.0000 0.0480 0.6505
S2 0.0000 0.3065 0.0465
S3 0.0000 0.3063 0.3230
S4 0.0000 0.3417 0.6801
S5 0.0000 0.4967 0.9358
```

Results
* E_tot: -231.40 eV for the cell shown
* ΔE_f (raw): -1.473 eV/atom

(3)
Sr2ZnMo | PBE-GGA | optimized geometry

Geometry as CIF:
```
data_Sr2ZnMo
_chemical_formula_sum 'Sr8 Zn4 Mo4'
_cell_length_a 4.4306
_cell_length_b 4.4306
_cell_length_c 21.4436
_cell_angle_alpha 90.00
_cell_angle_beta 90.00
_cell_angle_gamma 90.00
_symmetry_space_group_name_H-M 'I -4 2 d'
_symmetry_Int_Tables_number 122
_symmetry_space_group_name_Hall 'I -4 2bw'
loop_
_atom_site_label
_atom_site_fract_x
_atom_site_fract_y
_atom_site_fract_z
Sr1 0.2482 0.2500 0.1250
Zn1 0.0000 0.0000 0.0000
Mo1 0.0000 0.0000 0.5000
```

Results
* E_tot: -43.68 eV for the cell shown
* DFT formation energy: 1.137 eV per atom

(4)
GaSnW2C | PBE-GGA | optimized geometry

Geometry as CIF:
```
data_GaSnW2C
_chemical_formula_sum 'Ga1 Sn1 W2 C1'
_cell_length_a 5.0237
_cell_length_b 5.0237
_cell_length_c 4.9200
_cell_angle_alpha 90.00
_cell_angle_beta 90.00
_cell_angle_gamma 90.00
_symmetry_space_group_name_H-M 'P 4/m m m'
_symmetry_Int_Tables_number 123
_symmetry_space_group_name_Hall '-P 4 2'
loop_
_atom_site_label
_atom_site_fract_x
_atom_site_fract_y
_atom_site_fract_z
Ga1 0.0000 0.0000 0.0000
Sn1 0.0000 0.0000 0.5000
W1 0.0000 0.5000 0.5000
C1 0.5000 0.5000 0.0000
```

Results
* E_tot: -24.02 eV for the cell shown
* energy relative to the lowest polymorph listed for this composition: 2787 meV per atom
* DFT formation energy: 3.628 eV per atom

(5)
Na2Tl5CdSn | PBE-GGA | optimized geometry

Geometry as CIF:
```
data_Na2Tl5CdSn
_chemical_formula_sum 'Na8 Tl20 Cd4 Sn4'
_cell_length_a 4.6709
_cell_length_b 17.3460
_cell_length_c 13.1721
_cell_angle_alpha 90.00
_cell_angle_beta 90.00
_cell_angle_gamma 90.00
_symmetry_space_group_name_H-M 'C m c 21'
_symmetry_Int_Tables_number 36
_symmetry_space_group_name_Hall 'C 2c -2'
loop_
_atom_site_label
_atom_site_fract_x
_atom_site_fract_y
_atom_site_fract_z
Na1 0.0000 0.0827 0.0000
Na2 0.0000 0.1335 0.4853
Tl1 0.0000 0.0795 0.2323
Tl2 0.0000 0.2615 0.1127
Tl3 0.0000 0.2962 0.8015
Tl4 0.0000 0.3169 0.3894
Tl5 0.0000 0.4888 0.8853
Cd1 0.0000 0.1184 0.7373
Sn1 0.0000 0.4633 0.1385
```

Results
* E_tot: -78.62 eV for the cell shown
* DFT formation energy: -0.030 eV per atom

(6)
Rb2Na2InAs2 | PBE-GGA | optimized geometry

Geometry as CIF:
```
data_Rb2Na2InAs2
_chemical_formula_sum 'Rb4 Na4 In2 As4'
_cell_length_a 13.3243
_cell_length_b 4.4313
_cell_length_c 9.2306
_cell_angle_alpha 90.00
_cell_angle_beta 119.63
_cell_angle_gamma 90.00
_symmetry_space_group_name_H-M 'C 1 2/m 1'
_symmetry_Int_Tables_number 12
_symmetry_space_group_name_Hall '-C 2y'
loop_
_atom_site_label
_atom_site_fract_x
_atom_site_fract_y
_atom_site_fract_z
Rb1 0.1441 0.0000 0.2996
Na1 0.1507 0.5000 0.9241
In1 0.0000 0.5000 0.5000
As1 0.1423 0.0000 0.7005
```

Results
* E_tot: -36.40 eV for the cell shown
* DFT formation energy: -0.227 eV per atom

(7)
KBa2Ir | PBE-GGA | optimized geometry

Geometry as CIF:
```
data_KBa2Ir
_chemical_formula_sum 'K3 Ba6 Ir3'
_cell_length_a 4.5544
_cell_length_b 4.5544
_cell_length_c 36.2210
_cell_angle_alpha 90.00
_cell_angle_beta 90.00
_cell_angle_gamma 120.00
_symmetry_space_group_name_H-M 'R -3 m'
_symmetry_Int_Tables_number 166
_symmetry_space_group_name_Hall '-R 3 2"'
loop_
_atom_site_label
_atom_site_fract_x
_atom_site_fract_y
_atom_site_fract_z
K1 0.0000 0.0000 0.0000
Ba1 0.0000 0.0000 0.1219
Ir1 0.0000 0.0000 0.5000
```

Results
* E_tot: -41.63 eV for the cell shown
* energy relative to the lowest polymorph listed for this composition: 28 meV per atom
* DFT formation energy: -0.018 eV per atom

(8)
Rb2PrI6 | PBE-GGA | optimized geometry

Geometry as CIF:
```
data_Rb2PrI6
_chemical_formula_sum 'Rb4 Pr2 I12'
_cell_length_a 17.4620
_cell_length_b 8.9908
_cell_length_c 5.7547
_cell_angle_alpha 90.00
_cell_angle_beta 103.48
_cell_angle_gamma 90.00
_symmetry_space_group_name_H-M 'C 1 2/m 1'
_symmetry_Int_Tables_number 12
_symmetry_space_group_name_Hall '-C 2y'
loop_
_atom_site_label
_atom_site_fract_x
_atom_site_fract_y
_atom_site_fract_z
Rb1 0.1672 0.0000 0.1500
Pr1 0.0000 0.5000 0.5000
I1 0.0000 0.2933 0.0000
I2 0.1491 0.2723 0.6367
```

Results
* E_tot: -53.57 eV for the cell shown
* ΔE_f (raw): -1.197 eV/atom